Entry 1:
A plane-wave DFT calculation with GGA-PBE was carried out for Tb2PmAu4 after structural relaxation.

Cell lengths 7.360, 9.783, 5.041 Å; angles 90.00, 90.00, 90.00 degrees
Space group Cmmm (No. 65)
Asymmetric unit:
Tb 0.000 0.213 0.000
Pm 0.000 0.500 0.500
Au 0.211 0.500 0.000
Au 0.250 0.250 0.500

Calculated values
Calculated formation energy in eV per atom: -0.69
N(E_F) in states/eV/f.u.: 5.25

Entry 2:
A plane-wave DFT calculation with GGA-PBE was carried out for TbPm3Au2 after structural relaxation.

Cell lengths 5.086, 9.222, 7.193 Å; angles 90.00, 90.00, 90.00 degrees
Space group Pmc2_1 (No. 26)
Asymmetric unit:
Tb 0.000 0.074 0.000
Pm 0.000 0.334 0.644
Pm 0.500 0.164 0.340
Pm 0.500 0.425 0.984
Au 0.000 0.343 0.228
Au 0.500 0.151 0.755

Calculated values
Calculated formation energy in eV per atom: -0.57
Energy above the most stable polymorph in this dataset in eV per atom: 0.0000
N(E_F) in states/eV/f.u.: 6.23

Entry 3:
A plane-wave DFT calculation with GGA-PBE was carried out for TbPm2Au4 after structural relaxation.

Cell lengths 5.276, 5.276, 13.038 Å; angles 90.00, 90.00, 90.00 degrees
Space group I4/mmm (No. 139)
Asymmetric unit:
Tb 0.000 0.000 0.000
Pm 0.000 0.000 0.278
Au 0.000 0.500 0.116

Calculated values
Calculated formation energy in eV per atom: -0.68
Energy above the most stable polymorph in this dataset in eV per atom: 0.0000
N(E_F) in states/eV/f.u.: 5.38

Look up the N(E_F) of the third one.
5.38 states/eV/f.u.

The lowest calculated formation energy belongs to which entry?
Tb2PmAu4